Below is crystalline Mn3TlCl at its relaxed geometry, with properties calculated at the PBE level.

## Properties
**Total magnetic moment**: 10.1 μB per cell
**E**: -5.671 eV per atom

Cell lengths 4.498, 4.498, 4.498 Å; angles 90.00, 90.00, 90.00 degrees
Element x y z (fractional)
Mn: 0.000 0.000 0.500
Mn: 0.000 0.500 0.000
Mn: 0.500 0.000 0.000
Tl: 0.500 0.500 0.500
Cl: 0.000 0.000 0.000



Below is crystalline MnTlCl3 at its relaxed geometry, with properties calculated at the PBE level.

## Properties
**Total magnetic moment**: 20.0 μB per cell
**E**: -4.487 eV per atom

Cell lengths 9.162, 3.863, 14.808 Å; angles 90.00, 90.00, 90.00 degrees
Element x y z (fractional)
Mn: 0.163 0.250 0.052
Mn: 0.337 0.750 0.552
Mn: 0.663 0.250 0.448
Mn: 0.837 0.750 0.948
Tl: 0.050 0.750 0.322
Tl: 0.450 0.250 0.822
Tl: 0.550 0.750 0.178
Tl: 0.950 0.250 0.678
Cl: 0.018 0.250 0.903
Cl: 0.180 0.250 0.495
Cl: 0.230 0.750 0.702
Cl: 0.270 0.250 0.202
Cl: 0.320 0.750 0.995
Cl: 0.482 0.750 0.403
Cl: 0.518 0.250 0.597
Cl: 0.680 0.250 0.005
Cl: 0.730 0.750 0.798
Cl: 0.770 0.250 0.298
Cl: 0.820 0.750 0.505
Cl: 0.982 0.750 0.097



Below is crystalline Mn2TlCl at its relaxed geometry, with properties calculated at the PBE level.

## Properties
**Total magnetic moment**: 7.4 μB per cell
**E**: -5.482 eV per atom

Cell lengths 5.100, 5.100, 7.816 Å; angles 125.66, 125.66, 35.37 degrees
Element x y z (fractional)
Mn: 0.142 0.142 0.325
Mn: 0.858 0.858 0.675
Tl: 0.500 0.500 0.500
Cl: 0.500 0.500 0.000



Below is crystalline MnTlCl6 at its relaxed geometry, with properties calculated at the PBE level.

## Properties
**Total magnetic moment**: 2.8 μB per cell
**E**: -3.573 eV per atom

Cell lengths 6.749, 6.749, 6.375 Å; angles 97.92, 97.92, 123.30 degrees
Element x y z (fractional)
Mn: 0.000 0.000 0.000
Tl: 0.500 0.500 0.500
Cl: 0.068 0.346 0.209
Cl: 0.225 0.225 0.776
Cl: 0.346 0.068 0.209
Cl: 0.654 0.932 0.791
Cl: 0.775 0.775 0.224
Cl: 0.932 0.654 0.791



Below is crystalline Mn2TlCl at its relaxed geometry, with properties calculated at the PBE level.

## Properties
**Total magnetic moment**: 8.1 μB per cell
**E**: -5.370 eV per atom

Cell lengths 3.296, 3.296, 8.562 Å; angles 90.00, 90.00, 120.07 degrees
Element x y z (fractional)
Mn: 0.000 0.000 0.232
Mn: 0.000 0.000 0.768
Tl: 0.500 0.500 0.500
Cl: 0.500 0.500 0.000



Below is crystalline MnTl4Cl at its relaxed geometry, with properties calculated at the PBE level.

## Properties
**Total magnetic moment**: 4.5 μB per cell
**E**: -3.117 eV per atom

Cell lengths 6.374, 6.374, 6.374 Å; angles 60.00, 60.00, 60.00 degrees
Element x y z (fractional)
Mn: 0.000 0.000 0.000
Tl: 0.125 0.625 0.625
Tl: 0.625 0.125 0.625
Tl: 0.625 0.625 0.125
Tl: 0.625 0.625 0.625
Cl: 0.250 0.250 0.250



Below is crystalline MnTlCl2 at its relaxed geometry, with properties calculated at the PBE level.

## Properties
**Total magnetic moment**: 5.0 μB per cell
**E**: -4.068 eV per atom

Cell lengths 5.426, 5.426, 3.395 Å; angles 90.00, 90.00, 90.00 degrees
Element x y z (fractional)
Mn: 0.000 0.000 0.000
Tl: 0.500 0.500 0.000
Cl: 0.000 0.500 0.500
Cl: 0.500 0.000 0.500



Below is crystalline MnTl3Cl at its relaxed geometry, with properties calculated at the PBE level.

## Properties
**Total magnetic moment**: 2.8 μB per cell
**E**: -3.574 eV per atom

Cell lengths 5.292, 5.292, 5.292 Å; angles 90.00, 90.00, 90.00 degrees
Element x y z (fractional)
Mn: 0.000 0.000 0.000
Tl: 0.000 0.000 0.500
Tl: 0.000 0.500 0.000
Tl: 0.500 0.000 0.000
Cl: 0.500 0.500 0.500



Below is crystalline MnTl4Cl7 at its relaxed geometry, with properties calculated at the PBE level.

## Properties
**Total magnetic moment**: 4.3 μB per cell
**E**: -3.532 eV per atom

Cell lengths 8.950, 8.950, 12.686 Å; angles 124.20, 124.20, 30.83 degrees
Element x y z (fractional)
Mn: 0.000 0.000 0.000
Tl: 0.220 0.220 0.825
Tl: 0.389 0.389 0.627
Tl: 0.611 0.611 0.373
Tl: 0.780 0.780 0.175
Cl: 0.140 0.140 0.194
Cl: 0.167 0.167 0.551
Cl: 0.387 0.387 0.169
Cl: 0.500 0.500 0.000
Cl: 0.613 0.613 0.831
Cl: 0.833 0.833 0.449
Cl: 0.860 0.860 0.806



Below is crystalline Mn2TlCl at its relaxed geometry, with properties calculated at the PBE level.

## Properties
**Total magnetic moment**: 8.3 μB per cell
**E**: -5.253 eV per atom

Cell lengths 5.765, 5.765, 3.245 Å; angles 106.03, 106.03, 115.97 degrees
Element x y z (fractional)
Mn: 0.000 0.500 0.000
Mn: 0.500 0.000 0.000
Tl: 0.000 0.000 0.000
Cl: 0.500 0.500 0.000



Below is crystalline MnTlCl2 at its relaxed geometry, with properties calculated at the PBE level.

## Properties
**Total magnetic moment**: 4.7 μB per cell
**E**: -4.408 eV per atom

Cell lengths 9.349, 9.349, 9.349 Å; angles 159.21, 159.04, 29.69 degrees
Element x y z (fractional)
Mn: 0.000 0.000 0.000
Tl: 0.754 0.254 0.500
Cl: 0.097 0.597 0.500
Cl: 0.431 0.431 0.000



Below is crystalline MnTlCl2 at its relaxed geometry, with properties calculated at the PBE level.

## Properties
**Total magnetic moment**: 8.0 μB per cell
**E**: -4.411 eV per atom

Cell lengths 6.565, 6.565, 6.565 Å; angles 103.88, 103.88, 121.34 degrees
Element x y z (fractional)
Mn: 0.000 0.000 0.000
Mn: 0.750 0.250 0.500
Tl: 0.250 0.750 0.500
Tl: 0.500 0.500 0.000
Cl: 0.012 0.625 0.887
Cl: 0.375 0.262 0.387
Cl: 0.738 0.125 0.113
Cl: 0.875 0.988 0.613



Below is crystalline Mn2TlCl at its relaxed geometry, with properties calculated at the PBE level.

## Properties
**Total magnetic moment**: 8.2 μB per cell
**E**: -5.211 eV per atom

Cell lengths 6.134, 6.134, 6.134 Å; angles 143.10, 143.10, 53.18 degrees
Element x y z (fractional)
Mn: 0.000 0.000 0.000
Mn: 0.750 0.250 0.500
Tl: 0.250 0.750 0.500
Cl: 0.500 0.500 0.000



Below is crystalline MnTl3Cl4 at its relaxed geometry, with properties calculated at the PBE level.

## Properties
**Total magnetic moment**: 10.0 μB per cell
**E**: -3.807 eV per atom

Cell lengths 11.777, 6.023, 6.932 Å; angles 90.00, 90.00, 90.00 degrees
Element x y z (fractional)
Mn: 0.000 0.012 0.000
Mn: 0.500 0.988 0.500
Tl: 0.000 0.448 0.495
Tl: 0.245 0.618 0.238
Tl: 0.255 0.382 0.738
Tl: 0.500 0.552 0.995
Tl: 0.745 0.382 0.738
Tl: 0.755 0.618 0.238
Cl: 0.000 0.409 0.995
Cl: 0.000 0.939 0.333
Cl: 0.169 0.906 0.847
Cl: 0.331 0.094 0.347
Cl: 0.500 0.061 0.833
Cl: 0.500 0.591 0.495
Cl: 0.669 0.094 0.347
Cl: 0.831 0.906 0.847